1.
Compound: Hf2As2Se
Source: Alexandria via LeMat-Bulk
Functional: GGA-PBE
Structure: relaxed

The structure in CIF format:
```
data_Hf2As2Se
_cell_length_a 7.400
_cell_length_b 7.400
_cell_length_c 3.569
_cell_angle_alpha 90.00
_cell_angle_beta 90.00
_cell_angle_gamma 90.00
_symmetry_space_group_name_H-M 'P 1'
_symmetry_Int_Tables_number 1
loop_
_symmetry_equiv_pos_as_xyz
'x,y,z'
loop_
_atom_site_label
_atom_site_fract_x
_atom_site_fract_y
_atom_site_fract_z
_atom_site_occupancy
Hf1 0.841 0.659 0.000 1
Hf2 0.159 0.341 0.000 1
Hf3 0.341 0.841 0.000 1
Hf4 0.659 0.159 0.000 1
Se1 0.000 0.000 0.000 1
Se2 0.500 0.500 0.000 1
As1 0.864 0.364 0.500 1
As2 0.364 0.136 0.500 1
As3 0.136 0.636 0.500 1
As4 0.636 0.864 0.500 1
```

- Symmetry: P4/mbm
- E_form (uncorrected): -0.894 eV per atom

2.
Compound: HfTiNb3
Source: Alexandria via LeMat-Bulk
Functional: GGA-PBE
Structure: relaxed

The structure in CIF format:
```
data_HfTiNb3
_cell_length_a 4.722
_cell_length_b 4.722
_cell_length_c 4.722
_cell_angle_alpha 90.00
_cell_angle_beta 90.00
_cell_angle_gamma 90.00
_symmetry_space_group_name_H-M 'P 1'
_symmetry_Int_Tables_number 1
loop_
_symmetry_equiv_pos_as_xyz
'x,y,z'
loop_
_atom_site_label
_atom_site_fract_x
_atom_site_fract_y
_atom_site_fract_z
_atom_site_occupancy
Nb1 0.000 0.500 0.000 1
Nb2 0.500 0.000 0.000 1
Nb3 0.000 0.000 0.500 1
Hf1 0.500 0.500 0.500 1
Ti1 0.000 0.000 0.000 1
```

- Symmetry: Pm-3m
- Relative energy among the computed polymorphs: 0.920 eV per atom

3.
Compound: Sc3CdC
Source: Alexandria via LeMat-Bulk
Functional: GGA-PBE
Structure: relaxed

The structure in CIF format:
```
data_Sc3CdC
_cell_length_a 3.234
_cell_length_b 5.841
_cell_length_c 5.841
_cell_angle_alpha 82.59
_cell_angle_beta 90.00
_cell_angle_gamma 90.00
_symmetry_space_group_name_H-M 'P 1'
_symmetry_Int_Tables_number 1
loop_
_symmetry_equiv_pos_as_xyz
'x,y,z'
loop_
_atom_site_label
_atom_site_fract_x
_atom_site_fract_y
_atom_site_fract_z
_atom_site_occupancy
C1 0.000 0.493 0.507 1
Sc1 0.500 0.348 0.304 1
Sc2 0.500 0.696 0.652 1
Sc3 0.000 0.214 0.786 1
Cd1 0.500 0.877 0.123 1
```

- Symmetry: Amm2
- Relative energy among the computed polymorphs: 0.412 eV per atom

4.
Compound: HfTl2Re
Source: Alexandria via LeMat-Bulk
Functional: GGA-PBE
Structure: relaxed

The structure in CIF format:
```
data_HfTl2Re
_cell_length_a 7.868
_cell_length_b 7.868
_cell_length_c 6.283
_cell_angle_alpha 51.24
_cell_angle_beta 51.24
_cell_angle_gamma 90.00
_symmetry_space_group_name_H-M 'P 1'
_symmetry_Int_Tables_number 1
loop_
_symmetry_equiv_pos_as_xyz
'x,y,z'
loop_
_atom_site_label
_atom_site_fract_x
_atom_site_fract_y
_atom_site_fract_z
_atom_site_occupancy
Re1 0.750 0.250 0.500 1
Re2 0.000 0.000 0.000 1
Tl1 0.107 0.625 0.250 1
Tl2 0.875 0.893 0.750 1
Tl3 0.643 0.125 0.250 1
Tl4 0.375 0.357 0.750 1
Hf1 0.500 0.500 0.000 1
Hf2 0.250 0.750 0.500 1
```

- Symmetry: I-42d
- Relative energy among the computed polymorphs: 0.242 eV per atom

It is found that the calculated density values, taken in the order of the records, are 9.96, 7.96, 3.93, 14.21 g cm⁻³.